NbBi3Cl2O6 after structural relaxation. Source: Alexandria, functional PBE-GGA.

```
NbBi3Cl2O6
1.0
-2.519 -3.941 3.248
5.903 -1.839 2.346
-3.929 4.108 3.787
Nb Bi Cl O
1 3 2 6
Cartesian
-1.260 -1.971 1.624
2.951 -0.920 1.173
-0.273 -0.836 4.691
-3.224 0.083 3.517
2.202 -0.127 3.681
-2.747 -1.545 5.700
-0.512 -2.817 3.395
-0.033 1.144 5.986
0.574 -1.434 6.752
-1.120 -0.239 2.629
-3.204 2.132 4.726
2.658 -3.804 4.655
```

Computed properties:
E_form (uncorrected) in meV per atom: -1317

ReBr2F2 after structural relaxation. Source: Alexandria, functional PBE-GGA.

```
ReBr2F2
1.0
6.612 0.000 0.000
0.000 6.612 0.000
0.000 0.000 4.367
Re Br F
2 4 4
Cartesian
0.000 0.000 0.000
3.306 3.306 0.000
2.225 5.531 0.000
5.531 4.386 0.000
4.386 1.081 0.000
1.081 2.225 0.000
1.156 4.462 2.183
4.462 5.456 2.183
5.456 2.150 2.183
2.150 1.156 2.183
```

Computed properties:
E_form (uncorrected) in meV per atom: 219
N(E_F) in states/eV/cell: 3.6
Energy relative to the lowest polymorph listed for this composition in kJ/mol of atoms: 127.8

Tb4In5 after structural relaxation. Source: Alexandria, functional PBE-GGA.

```
Tb4In5
1.0
6.475 0.000 0.000
0.000 9.300 0.000
0.000 -4.650 8.054
Tb In
8 10
Cartesian
0.000 0.000 0.000
3.237 0.000 0.000
4.856 1.708 2.958
4.856 -2.942 5.097
4.856 5.885 0.000
1.619 2.942 5.097
1.619 -1.708 2.958
1.619 3.415 0.000
4.856 3.246 5.622
4.856 -1.404 2.432
4.856 2.808 0.000
1.619 1.404 2.432
1.619 -3.246 5.622
1.619 6.492 0.000
0.000 4.650 2.685
3.237 0.000 5.369
0.000 0.000 5.369
3.237 4.650 2.685
```

Computed properties:
Calculated formation energy in meV per atom: -415.9
N(E_F) in states/eV/cell: 14.0

ThScSn6 after structural relaxation. Source: Alexandria, functional PBE-GGA.

```
ThScSn6
1.0
-0.447 3.799 -2.765
-2.902 1.961 3.164
7.243 3.920 4.214
Th Sc Sn
1 1 6
Cartesian
0.000 0.000 0.000
3.622 1.960 2.107
-1.675 2.880 0.200
1.947 4.840 2.307
1.669 2.924 -0.281
5.127 4.795 1.731
0.441 2.005 2.683
3.900 3.876 4.695
```

Computed properties:
Calculated formation energy in meV per atom: -353.8
N(E_F) in states/eV/cell: 4.3

Ta3InCu after structural relaxation. Source: Alexandria, functional PBE-GGA.

```
Ta3InCu
1.0
4.988 0.000 0.000
0.000 4.988 0.000
0.000 0.000 4.988
In Cu Ta
1 1 3
Cartesian
0.000 0.000 0.000
2.494 2.494 2.494
0.000 2.494 0.000
0.000 0.000 2.494
2.494 0.000 0.000
```

Computed properties:
Calculated formation energy in meV per atom: 2379.3
N(E_F) in states/eV/cell: 5.2
Energy relative to the lowest polymorph listed for this composition in kJ/mol of atoms: 134.4

Ho3In3Sn4 after structural relaxation. Source: Alexandria, functional PBE-GGA.

```
Ho3In3Sn4
1.0
-1.722 -1.412 3.851
5.102 -5.965 0.094
5.267 4.295 3.929
Ho In Sn
3 3 4
Cartesian
4.268 -5.013 2.640
2.556 -1.252 3.253
6.092 -1.822 4.625
2.573 -2.962 0.065
7.715 -3.790 2.060
4.378 1.838 5.201
5.162 -2.260 1.479
5.206 0.498 2.510
8.970 -1.382 3.504
1.402 -0.163 0.567
```

Computed properties:
Calculated formation energy in meV per atom: -331.5
N(E_F) in states/eV/cell: 5.2

CuPClF6 after structural relaxation. Source: Alexandria, functional PBE-GGA.

```
CuPClF6
1.0
-3.600 3.967 -0.349
-4.571 -0.745 -2.716
-2.947 -2.181 5.564
Cu P Cl F
1 1 1 6
Cartesian
-6.919 1.057 0.739
-4.197 -0.016 1.760
-2.949 -2.180 5.563
-2.897 -0.722 1.043
-3.477 -0.107 3.235
-5.535 0.651 2.443
-4.830 -1.519 1.966
-4.935 0.134 0.300
-3.507 1.463 1.577
```

Computed properties:
E_form (uncorrected) in meV per atom: -1753
N(E_F) in states/eV/cell: 15.8

NiMo2PPd after structural relaxation. Source: Alexandria, functional PBE-GGA.

```
NiMo2PPd
1.0
4.472 0.000 0.000
0.000 4.066 0.000
0.000 0.000 4.472
Ni Mo Pd P
1 2 1 1
Cartesian
0.000 2.033 0.000
0.000 0.000 2.236
2.236 0.000 0.000
2.236 2.033 2.236
0.000 0.000 0.000
```

Computed properties:
Calculated formation energy in meV per atom: 446.1
N(E_F) in states/eV/cell: 8.2

LiPr2ThTe4 after structural relaxation. Source: Alexandria, functional PBE-GGA.

```
LiPr2ThTe4
1.0
4.443 0.000 0.000
0.000 7.778 0.180
0.000 -2.677 7.213
Li Pr Th Te
1 2 1 4
Cartesian
0.000 0.000 0.000
2.222 -1.339 3.606
0.000 2.550 3.696
2.222 3.889 0.090
2.222 1.217 1.728
2.222 3.883 5.664
0.000 -0.160 5.541
0.000 5.261 1.852
```

Computed properties:
E_form (uncorrected) in meV per atom: -1274
N(E_F) in states/eV/cell: 4.9

Ho2TcHg after structural relaxation. Source: Alexandria, functional PBE-GGA.

```
Ho2TcHg
1.0
-2.961 -1.806 0.499
1.432 -2.782 -1.576
2.548 -2.378 6.513
Tc Hg Ho
1 1 2
Cartesian
-0.765 -2.294 -0.539
0.509 -3.483 2.718
1.988 -1.856 5.082
0.560 -0.522 1.431
```

Computed properties:
Calculated formation energy in meV per atom: -277.2
N(E_F) in states/eV/cell: 4.4

Cs2PmSbTe4 after structural relaxation. Source: Alexandria, functional PBE-GGA.

```
Cs2PmSbTe4
1.0
9.769 0.001 -0.139
-0.006 9.769 -0.139
-4.734 -4.738 7.043
Cs Pm Sb Te
4 2 2 8
Cartesian
4.884 0.000 -0.069
2.517 -2.368 3.452
-2.367 -2.369 3.522
4.881 4.885 -0.139
-0.003 4.884 -0.069
7.399 2.516 3.313
2.514 2.516 3.383
5.035 -4.737 6.905
-2.687 2.612 6.657
4.934 0.464 3.630
0.094 4.568 3.136
7.715 2.420 0.108
2.962 2.602 6.547
4.942 4.584 3.602
0.086 0.448 3.164
2.066 2.429 0.219
```

Computed properties:
E_form (uncorrected) in meV per atom: -903

LiMg4CuPd2 after structural relaxation. Source: Alexandria, functional PBE-GGA.

```
LiMg4CuPd2
1.0
-1.036 2.420 3.704
0.524 -1.827 4.127
6.742 2.762 2.868
Li Mg Cu Pd
1 4 1 2
Cartesian
0.000 0.000 0.000
5.655 2.619 5.444
2.127 1.572 7.929
4.104 1.783 2.769
0.576 0.736 5.255
3.115 1.678 5.349
4.687 2.522 8.025
1.544 0.834 2.674
```

Computed properties:
Calculated formation energy in meV per atom: -445.5
N(E_F) in states/eV/cell: 2.9

Al2TeBr after structural relaxation. Source: Alexandria, functional PBE-GGA.

```
Al2TeBr
1.0
7.637 0.000 0.000
0.000 7.637 0.000
3.819 3.819 3.900
Te Al Br
2 4 2
Cartesian
0.000 0.000 0.000
7.637 3.819 1.950
5.766 1.909 0.975
1.871 5.728 0.975
5.728 5.690 2.925
9.546 9.584 2.925
3.819 3.819 0.000
3.819 7.637 1.950
```

Computed properties:
E_form (uncorrected) in meV per atom: 31
N(E_F) in states/eV/cell: 4.4
Energy relative to the lowest polymorph listed for this composition in kJ/mol of atoms: 34.8

| no. | uncorrected energy (eV per atom) |
| --- | --- |
| 1 | -5.91 |
| 2 | -3.69 |
| 3 | -4.00 |
| 4 | -5.07 |
| 5 | -6.10 |
| 6 | -4.13 |
| 7 | -4.26 |
| 8 | -7.16 |
| 9 | -5.21 |
| 10 | -5.23 |
| 11 | -3.80 |
| 12 | -3.29 |
| 13 | -3.04 |